Compound: Li2SnAs2
Source: Alexandria
Functional: GGA-PBEsol
Structure: relaxed

Cell: 4.256 4.256 6.039 Å, 110.63 110.63 90.00°
Fractional coordinates of all 5 atoms:
As  0.385  0.385  0.770
As  0.615  0.615  0.230
Sn  0.000  0.000  0.000
Li  0.250  0.750  0.500
Li  0.750  0.250  0.500

* symmetry: No. 139
* energy of formation from the pure elements: -1.58 eV per formula unit
* distance to the lowest polymorph of the same formula: 0.079 eV per atom
* N(E_F): 0.19 states/eV/atom

Compound: SrLi2As
Source: Alexandria
Functional: GGA-PBEsol
Structure: relaxed

Cell: 4.572 4.572 4.668 Å, 90.00 90.00 96.02°
Last column: magnetic moment on the atom in μB.
Fractional coordinates of all 4 atoms:
Sr  0.500  0.500  0.500  0.09
As  0.000  0.000  0.500  0.04
Li  0.828  0.172  0.000  0.02
Li  0.172  0.828  0.000  0.02

* symmetry: No. 65
* energy of formation from the pure elements: -2.02 eV per formula unit
* N(E_F): 0.27 states/eV/atom

Compound: SrLi2As
Source: Alexandria
Functional: GGA-PBEsol
Structure: relaxed

Cell: 4.300 4.300 5.992 Å, 68.97 68.97 60.00°
Fractional coordinates of all 4 atoms:
Sr  0.500  0.500  0.500
As  0.000  0.000  0.000
Li  0.301  0.301  0.096
Li  0.699  0.699  0.904

* symmetry: No. 166
* energy of formation from the pure elements: -2.39 eV per formula unit
* N(E_F): 0.41 states/eV/atom

Compound: SrLi2As
Source: Alexandria
Functional: GGA-PBEsol
Structure: relaxed

Cell: 4.379 4.379 6.026 Å, 68.70 68.70 60.00°
Last column: magnetic moment on the atom in μB.
Fractional coordinates of all 4 atoms:
Sr  0.510  0.510  0.470  0.11
As  0.307  0.307  0.080  0.01
Li  0.989  0.989  0.034  0.01
Li  0.699  0.699  0.903  0.02

* symmetry: No. 160
* energy of formation from the pure elements: -2.71 eV per formula unit
* N(E_F): 0.18 states/eV/atom

Compound: Sr3LiAs
Source: Alexandria
Functional: GGA-PBEsol
Structure: relaxed

Cell: 6.005 6.005 6.005 Å, 90.00 90.00 90.00°
Fractional coordinates of all 5 atoms:
Sr  0.000  0.500  0.000
Sr  0.000  0.000  0.500
Sr  0.500  0.000  0.000
As  0.000  0.000  0.000
Li  0.500  0.500  0.500

* symmetry: No. 221
* energy of formation from the pure elements: -2.21 eV per formula unit
* N(E_F): 0.94 states/eV/atom

Compound: SrLi2As
Source: Alexandria
Functional: GGA-PBEsol
Structure: relaxed

Cell: 4.360 4.360 6.040 Å, 110.45 110.45 91.83°
Fractional coordinates of all 4 atoms:
Sr  0.500  0.500  0.000
As  0.000  0.000  0.000
Li  0.500  0.000  0.500
Li  0.000  0.500  0.500

* symmetry: No. 69
* energy of formation from the pure elements: -1.24 eV per formula unit
* N(E_F): 0.43 states/eV/atom

Compound: SrLi2As
Source: Alexandria
Functional: GGA-PBEsol
Structure: relaxed

Cell: 4.437 4.437 5.600 Å, 113.34 113.34 90.00°
Fractional coordinates of all 4 atoms:
Sr  0.500  0.500  0.000
As  0.000  0.000  0.000
Li  0.750  0.250  0.500
Li  0.250  0.750  0.500

* symmetry: No. 139
* energy of formation from the pure elements: -1.73 eV per formula unit
* N(E_F): 0.48 states/eV/atom

Compound: SrLi3As
Source: Alexandria
Functional: GGA-PBEsol
Structure: relaxed

Cell: 4.926 4.926 4.926 Å, 90.00 90.00 90.00°
Fractional coordinates of all 5 atoms:
Sr  0.500  0.500  0.500
As  0.000  0.000  0.000
Li  0.000  0.500  0.000
Li  0.000  0.000  0.500
Li  0.500  0.000  0.000

* symmetry: No. 221
* energy of formation from the pure elements: -1.73 eV per formula unit
* N(E_F): 0.45 states/eV/atom

Compound: SrLiZr2As
Source: Alexandria
Functional: GGA-PBEsol
Structure: relaxed

Cell: 4.727 4.727 5.102 Å, 90.00 90.00 90.00°
Fractional coordinates of all 5 atoms:
Sr  0.000  0.000  0.500
As  0.500  0.500  0.500
Zr  0.000  0.500  0.000
Zr  0.500  0.000  0.000
Li  0.000  0.000  0.000

* symmetry: No. 123
* energy of formation from the pure elements: 3.15 eV per formula unit
* N(E_F): 0.89 states/eV/atom

Compound: Li3TcAs
Source: Alexandria
Functional: GGA-PBEsol
Structure: relaxed

Cell: 4.617 4.617 4.617 Å, 90.00 90.00 90.00°
Last column: magnetic moment on the atom in μB.
Fractional coordinates of all 5 atoms:
As  0.500  0.500  0.500  -0.09
Tc  0.000  0.000  0.000  2.07
Li  0.000  0.500  0.000  0.01
Li  0.000  0.000  0.500  0.01
Li  0.500  0.000  0.000  0.01

* symmetry: No. 221
* energy of formation from the pure elements: 6.30 eV per formula unit
* N(E_F): 1.74 states/eV/atom

Compound: Li2TcAs
Source: Alexandria
Functional: GGA-PBEsol
Structure: relaxed

Cell: 4.170 4.170 4.170 Å, 60.00 60.00 60.00°
Fractional coordinates of all 4 atoms:
As  0.500  0.500  0.500
Tc  0.750  0.750  0.750
Li  0.000  0.000  0.000
Li  0.250  0.250  0.250

* symmetry: No. 216
* energy of formation from the pure elements: -0.51 eV per formula unit
* N(E_F): 0.46 states/eV/atom

Compound: LiTc2As
Source: Alexandria
Functional: GGA-PBEsol
Structure: relaxed

Cell: 2.718 4.763 5.013 Å, 117.10 103.71 94.12°
Fractional coordinates of all 4 atoms:
As  0.500  0.000  0.000
Li  0.000  0.500  0.000
Tc  0.000  0.000  0.500
Tc  0.500  0.500  0.500

* symmetry: No. 12
* energy of formation from the pure elements: 0.89 eV per formula unit
* N(E_F): 0.91 states/eV/atom

Compound: Li2TcAs
Source: Alexandria
Functional: GGA-PBEsol
Structure: relaxed

Cell: 2.695 4.396 4.917 Å, 90.00 106.97 90.00°
Fractional coordinates of all 4 atoms:
As  0.000  0.500  0.500
Tc  0.500  0.500  0.000
Li  0.830  0.000  0.755
Li  0.170  0.000  0.245

* symmetry: No. 10
* energy of formation from the pure elements: -0.14 eV per formula unit
* N(E_F): 0.57 states/eV/atom

Compound: LiTc2As
Source: Alexandria
Functional: GGA-PBEsol
Structure: relaxed

Cell: 2.930 4.390 4.518 Å, 104.30 108.92 90.00°
Fractional coordinates of all 4 atoms:
As  0.499  0.499  0.999
Li  0.755  0.246  0.509
Tc  0.999  0.021  0.998
Tc  0.247  0.734  0.494

* symmetry: No. 8
* energy of formation from the pure elements: 0.27 eV per formula unit
* N(E_F): 0.74 states/eV/atom

Compound: Li2TcAs
Source: Alexandria
Functional: GGA-PBEsol
Structure: relaxed

Cell: 3.068 3.996 4.416 Å, 90.00 90.00 90.00°
Last column: magnetic moment on the atom in μB.
Fractional coordinates of all 4 atoms:
As  0.000  0.500  0.500  0.00
Tc  0.500  0.000  0.500  0.33
Li  0.000  0.000  0.000  0.00
Li  0.500  0.500  0.000  0.00

* symmetry: No. 47
* energy of formation from the pure elements: -0.37 eV per formula unit
* N(E_F): 0.56 states/eV/atom

Compound: LiTc2As
Source: Alexandria
Functional: GGA-PBEsol
Structure: relaxed

Cell: 4.215 4.215 4.215 Å, 60.00 60.00 60.00°
Fractional coordinates of all 4 atoms:
As  0.500  0.500  0.500
Li  0.250  0.250  0.250
Tc  0.000  0.000  0.000
Tc  0.750  0.750  0.750

* symmetry: No. 216
* energy of formation from the pure elements: -0.23 eV per formula unit
* N(E_F): 0.71 states/eV/atom

Compound: LiTe2As
Source: Alexandria
Functional: GGA-PBEsol
Structure: relaxed

Cell: 4.110 4.110 6.240 Å, 109.23 109.23 90.00°
Fractional coordinates of all 4 atoms:
As  0.500  0.500  0.000
Te  0.000  0.000  0.000
Te  0.750  0.250  0.500
Li  0.250  0.750  0.500

* symmetry: No. 119
* distance to the lowest polymorph of the same formula: 0.288 eV per atom
* formation energy (no corrections): -0.077 eV per atom
* N(E_F): 0.58 states/eV/atom

Compound: LiTe2As
Source: Alexandria
Functional: GGA-PBEsol
Structure: relaxed

Cell: 4.082 4.082 7.233 Å, 73.61 73.61 60.00°
Fractional coordinates of all 4 atoms:
As  0.500  0.500  0.500
Te  0.247  0.247  0.259
Te  0.753  0.753  0.741
Li  0.000  0.000  0.000

* symmetry: No. 166
* distance to the lowest polymorph of the same formula: 0.000 eV per atom
* formation energy (no corrections): -0.364 eV per atom

Compound: Li3TeAs
Source: Alexandria
Functional: GGA-PBEsol
Structure: relaxed

Cell: 4.738 4.738 4.738 Å, 90.00 90.00 90.00°
Fractional coordinates of all 5 atoms:
As  0.000  0.000  0.000
Te  0.500  0.500  0.500
Li  0.000  0.500  0.000
Li  0.000  0.000  0.500
Li  0.500  0.000  0.000

* symmetry: No. 221
* formation energy (no corrections): -0.335 eV per atom
* N(E_F): 0.72 states/eV/atom

Compound: LiTe2As
Source: Alexandria
Functional: GGA-PBEsol
Structure: relaxed

Cell: 4.012 4.108 6.790 Å, 95.03 107.18 90.00°
Fractional coordinates of all 4 atoms:
As  0.461  0.436  0.921
Te  0.005  0.892  0.010
Te  0.261  0.331  0.522
Li  0.774  0.841  0.547

* symmetry: No. 8
* distance to the lowest polymorph of the same formula: 0.047 eV per atom
* formation energy (no corrections): -0.317 eV per atom

Number 1: magnetic moment 0.00 μB per formula unit, mass density 4.95 g cm⁻³, DFT total energy -20.0 eV/f.u.. Number 2: magnetic moment 0.85 μB per formula unit, mass density 3.02 g cm⁻³, DFT total energy -12.9 eV/f.u.. Number 3: magnetic moment 0.00 μB per formula unit, mass density 3.35 g cm⁻³, DFT total energy -13.3 eV/f.u.. Number 4: magnetic moment 0.85 μB per formula unit, mass density 3.23 g cm⁻³, DFT total energy -13.6 eV/f.u.. Number 5: magnetic moment 0.00 μB per formula unit, mass density 2.64 g cm⁻³, DFT total energy -14.8 eV/f.u.. Number 6: magnetic moment 0.00 μB per formula unit, mass density 2.95 g cm⁻³, DFT total energy -12.1 eV/f.u.. Number 7: magnetic moment 0.00 μB per formula unit, mass density 3.21 g cm⁻³, DFT total energy -12.6 eV/f.u.. Number 8: magnetic moment 0.00 μB per formula unit, mass density 2.55 g cm⁻³, DFT total energy -14.6 eV/f.u.. Number 9: magnetic moment 0.00 μB per formula unit, mass density 5.13 g cm⁻³, DFT total energy -23.9 eV/f.u.. Number 10: magnetic moment 2.34 μB per formula unit, mass density 3.27 g cm⁻³, DFT total energy -16.0 eV/f.u.. Number 11: magnetic moment 0.00 μB per formula unit, mass density 6.05 g cm⁻³, DFT total energy -20.8 eV/f.u.. Number 12: magnetic moment 0.00 μB per formula unit, mass density 8.41 g cm⁻³, DFT total energy -28.7 eV/f.u.. Number 13: magnetic moment 0.00 μB per formula unit, mass density 5.57 g cm⁻³, DFT total energy -20.4 eV/f.u.. Number 14: magnetic moment 0.00 μB per formula unit, mass density 8.70 g cm⁻³, DFT total energy -29.3 eV/f.u.. Number 15: magnetic moment 0.36 μB per formula unit, mass density 5.73 g cm⁻³, DFT total energy -20.7 eV/f.u.. Number 16: magnetic moment 0.00 μB per formula unit, mass density 8.71 g cm⁻³, DFT total energy -29.8 eV/f.u.. Number 17: magnetic moment 0.00 μB per formula unit, mass density 6.00 g cm⁻³, DFT total energy -14.4 eV/f.u.. Number 18: magnetic moment 0.00 μB per formula unit, mass density 5.67 g cm⁻³, DFT total energy -15.6 eV/f.u.. Number 19: magnetic moment 0.00 μB per formula unit, mass density 3.49 g cm⁻³, DFT total energy -16.2 eV/f.u.. Number 20: magnetic moment 0.00 μB per formula unit, mass density 5.26 g cm⁻³, DFT total energy -15.4 eV/f.u..